InAg8Pd6 after structural relaxation, computed with PBE-GGA.

Cell lengths 7.1093, 7.1093, 7.1093 Å; angles 66.06, 66.06, 66.06 degrees
Fractional coordinates of all 15 atoms:
1 In 0.0000 0.0000 0.0000
2 Ag 0.1135 0.4681 0.7860
3 Ag 0.2140 0.8865 0.5319
4 Ag 0.3105 0.3105 0.3105
5 Ag 0.4681 0.7860 0.1135
6 Ag 0.5319 0.2140 0.8865
7 Ag 0.6895 0.6895 0.6895
8 Ag 0.7860 0.1135 0.4681
9 Ag 0.8865 0.5319 0.2140
10 Pd 0.0622 0.7071 0.3669
11 Pd 0.2929 0.6331 0.9378
12 Pd 0.3669 0.0622 0.7071
13 Pd 0.6331 0.9378 0.2929
14 Pd 0.7071 0.3669 0.0622
15 Pd 0.9378 0.2929 0.6331

Results
- energy relative to the elements (eV per atom) = 0.027
- E (eV per atom) = -3.753
- M_tot (μB per cell) = 0.00
- space group = R-3 (148)